This record from the Alexandria database describes Tb3Si2Pt9Au after structural relaxation. The functional is PBE.

Cell: 5.6250 5.6250 11.2028 Å, 90.00 90.00 120.00°
Last column: nearest neighbours and their distance in Å.
Space group P-3m1 (No. 164)
Asymmetric unit:
Tb: 0.0000 0.0000 0.0000 x1  6 Pt 2.81
Tb: 0.3333 0.6667 0.5908 x2  6 Pt 3.04, 3 Au 3.40
Si: 0.3333 0.6667 0.1590 x2  6 Pt 2.34-2.41
Pt: 0.0000 0.5000 0.0000 x3  2 Si 2.41
Pt: 0.1631 0.3262 0.3060 x6  1 Si 2.34
Au: 0.0000 0.0000 0.5000 x1  6 Pt 2.69

Uncorrected energy   -94.086 eV for the cell shown
D(E_F)   4.141 states/eV/f.u.